Entry 1:
This record from Alexandria via LeMat-Bulk describes a relaxed DyNpCl6 crystal. The functional is PBE.

Geometry as extended XYZ:
```
8
Lattice="6.761 0.009 0.009 3.372 5.860 0.013 3.369 1.947 6.341" Properties=species:S:1:pos:R:3 pbc="T T T"
Dy 0.000 0.000 0.000
Np 6.751 3.908 3.182
Cl 4.539 3.779 4.811
Cl 7.963 2.055 4.813
Cl 5.759 1.933 1.545
Cl 5.539 5.761 1.550
Cl 8.963 4.037 1.552
Cl 7.744 5.883 4.818
```

## Properties
Polymorph energy (0 for the lowest one)   6 meV per atom
Symmetry   No. 148

---

Entry 2:
This record from Alexandria via LeMat-Bulk describes a relaxed Tb2Pm4In crystal. The functional is PBE.

Geometry as extended XYZ:
```
14
Lattice="-10.068 -3.756 2.204 -0.571 -2.082 -6.157 3.050 -3.578 7.836" Properties=species:S:1:pos:R:3 pbc="T T T"
In 0.000 0.000 0.000
In -5.319 -2.919 -1.976
Tb 0.052 -2.480 -2.286
Tb -7.641 -6.936 6.170
Tb -3.520 -6.333 2.127
Tb -4.068 -3.083 1.757
Pm -7.863 -4.944 -2.681
Pm -7.112 -6.515 2.568
Pm -4.904 -4.757 5.226
Pm -7.313 -3.804 0.340
Pm -0.276 -5.612 3.544
Pm -2.685 -4.658 -1.342
Pm -0.477 -2.900 1.315
Pm 0.275 -4.472 6.564
```

## Properties
Polymorph energy (0 for the lowest one)   0 meV per atom
Symmetry   No. 14
DFT formation energy   -26 meV/atom

---

Entry 3:
This record from Alexandria via LeMat-Bulk describes a relaxed LiSmTl3 crystal. The functional is PBE.

Geometry as extended XYZ:
```
5
Lattice="5.070 0.000 0.000 0.000 5.070 0.000 0.000 0.000 5.070" Properties=species:S:1:pos:R:3 pbc="T T T"
Tl 0.000 2.535 0.000
Tl 0.000 0.000 2.535
Tl 2.535 0.000 0.000
Sm 2.535 2.535 2.535
Li 0.000 0.000 0.000
```

## Properties
Polymorph energy (0 for the lowest one)   76 meV per atom
Symmetry   No. 221
DFT formation energy   -63 meV/atom

---

Entry 4:
This record from Alexandria via LeMat-Bulk describes a relaxed AgF2 crystal. The functional is PBE.

Geometry as extended XYZ:
```
3
Lattice="3.795 0.133 -0.524 0.133 3.795 -0.524 -2.518 -2.518 3.818" Properties=species:S:1:pos:R:3 pbc="T T T"
Ag 1.964 1.964 -0.524
F -0.532 -0.532 1.151
F 1.941 1.941 1.619
```

## Properties
Symmetry   No. 12
Raw total energy   -9.8 eV/cell

---

Entry 5:
This record from Alexandria via LeMat-Bulk describes a relaxed RbNaCa2Zn crystal. The functional is PBE.

Geometry as extended XYZ:
```
5
Lattice="5.920 0.000 0.000 0.000 5.920 0.000 0.000 0.000 6.258" Properties=species:S:1:pos:R:3 pbc="T T T"
Na 0.000 0.000 3.129
Zn 0.000 0.000 0.000
Ca 0.000 2.960 0.000
Ca 2.960 0.000 0.000
Rb 2.960 2.960 3.129
```

## Properties
Symmetry   No. 123
DFT formation energy   92 meV/atom

---

Entry 6:
This record from Alexandria via LeMat-Bulk describes a relaxed Pm8PdRh3Br4 crystal. The functional is PBE.

Geometry as extended XYZ:
```
16
Lattice="8.240 0.000 0.000 0.000 9.096 0.596 -4.120 -4.115 5.825" Properties=species:S:1:pos:R:3 pbc="T T T"
Pm -2.013 2.382 6.013
Pm 0.000 4.393 3.165
Pm 0.000 0.556 3.299
Pm 2.013 2.382 6.013
Pm 2.106 2.599 0.409
Pm 4.120 4.425 3.123
Pm 4.120 0.587 3.256
Pm 6.133 2.599 0.409
Pd 0.000 4.548 0.298
Rh 4.120 4.548 0.298
Rh 2.060 2.490 3.211
Rh -2.060 2.490 3.211
Br 4.120 0.000 0.000
Br 2.060 -2.058 2.913
Br 0.000 0.000 0.000
Br -2.060 -2.058 2.913
```

## Properties
Symmetry   No. 12
Raw total energy   -89.0 eV/cell

---

The evaluated V for the records listed, in turn: 250.8 458.2 130.4 45.3 219.3 456.8 Å³/cell.